First-principles (GGA-PBE) data for a relaxed structure of Pr12In4PbN3, as listed in the Alexandria database.

Lattice parameters (Å, degrees): 10.6015 10.6015 10.6015 90.00 90.00 90.00
Space group Im-3m (No. 229)
Inequivalent atoms, fractional coordinates:
Pr 0.0000 0.0000 0.2776 x12
Pr 0.0000 0.2500 0.5000 x12
In 0.2500 0.2500 0.2500 x8
Pb 0.0000 0.0000 0.0000 x2
N 0.0000 0.0000 0.5000 x6

- V (Å³ per atom) = 29.788
- DOS(E_F) (states/eV/f.u.) = 10.5
- formation energy from raw total energies (eV/atom) = -0.54
- total magnetization (μB/f.u.) = 0.0
- density (Mg/m³) = 6.69